Ba2YRh (GGA-PBE, optimized geometry); crystal system = monoclinic; distance to the lowest polymorph of the same formula = 23 meV per atom; total moment = 0.0 Bohr magnetons per cell; E_form = -0.22 eV per atom
1.0
4.303 -0.005 0.017
2.160 3.721 0.017
2.065 1.187 10.448
Y Rh Ba
1 1 2
direct
0.216 0.216 0.351
0.512 0.512 0.466
0.785 0.785 0.651
0.988 0.988 0.032